(1)
VASP calculation (GGA-PBE) on crystalline NdHo3S4 at its relaxed geometry.

Calculated values
DFT total energy = -101.7 eV/cell
magnetization = 0.00 μB/cell
formation energy (no corrections) = -1.98 eV per atom
ΔE to the lowest computed polymorph = 0 meV/atom

Cell: 7.951 11.127 3.889 Å, 90.00 90.00 90.00°
Space group Cmmm (No. 65)
Symmetry-distinct sites (fractional):
Nd 0.000 0.000 0.000
Ho 0.000 0.500 0.000
Ho 0.250 0.250 0.500
S 0.000 0.256 0.000
S 0.238 0.500 0.500

(2)
VASP calculation (GGA-PBE) on crystalline LiBeMo2 at its relaxed geometry.

Calculated values
DFT total energy = -52.1 eV/cell
magnetization = 0.00 μB/cell
ΔE to the lowest computed polymorph = 77 meV/atom
energy relative to the elements = 310.9 meV per atom

Cell: 3.642 3.642 7.897 Å, 90.00 90.00 90.00°
Space group I-4m2 (No. 119)
Symmetry-distinct sites (fractional):
Li 0.000 0.000 0.000
Be 0.000 0.500 0.250
Mo 0.000 0.000 0.500
Mo 0.000 0.500 0.750

(3)
VASP calculation (GGA-PBE) on crystalline SiAgSe2 at its relaxed geometry.

Calculated values
DFT total energy = -15.5 eV/cell
magnetization = 0.00 μB/cell
formation energy (no corrections) = -0.07 eV per atom

Cell: 3.706 3.706 6.367 Å, 90.00 90.00 90.00°
Space group P4mm (No. 99)
Symmetry-distinct sites (fractional):
Si 0.000 0.000 0.000
Ag 0.500 0.500 0.515
Se 0.000 0.000 0.633
Se 0.500 0.500 0.086

(4)
VASP calculation (GGA-PBE) on crystalline Th2MgPa2Ru5 at its relaxed geometry.

Calculated values
DFT total energy = -166.8 eV/cell
magnetization = 0.00 μB/cell
energy relative to the elements = -160.8 meV per atom

Cell: 11.042 11.042 3.506 Å, 90.00 90.00 90.00°
Space group P4/mbm (No. 127)
Symmetry-distinct sites (fractional):
Th 0.169 0.331 0.000
Mg 0.000 0.000 0.000
Pa 0.142 0.642 0.000
Ru 0.000 0.500 0.500
Ru 0.028 0.774 0.500